1.
Entry from Alexandria: a relaxed Rb2UI8 crystal (GGA-PBE).

abc: 5.5891 7.6254 12.9886
angles: 107.44 102.42 90.00
Last column: magnetic moment on the atom in μB.
Fractional positions:
Rb: 0.8110 0.3160 0.6220  0.00
Rb: 0.1890 0.6840 0.3780  0.00
U: 0.5000 0.0000 0.0000  1.45
I: 0.4292 0.6055 0.8584  -0.07
I: 0.6131 0.9584 0.2262  -0.12
I: 0.7835 0.7790 0.5670  -0.07
I: 0.9784 0.1949 0.9567  -0.09
I: 0.2165 0.2210 0.4330  -0.07
I: 0.3869 0.0416 0.7738  -0.12
I: 0.5708 0.3945 0.1416  -0.07
I: 0.0216 0.8051 0.0433  -0.09

Computed properties:
Formation energy from raw total energies   -0.788 eV/atom

***

2.
Entry from Alexandria: a relaxed Sm3Er3Tm8 crystal (GGA-PBE).

abc: 5.5679 9.5575 9.5575
angles: 101.72 73.06 73.06
Fractional positions:
Sm: 0.5000 0.0000 0.0000
Sm: 0.0000 0.8172 0.1828
Sm: 0.0000 0.1828 0.8172
Er: 0.5000 0.5000 0.5000
Er: 0.7952 0.2048 0.2048
Er: 0.2048 0.7952 0.7952
Tm: 0.6601 0.1188 0.5609
Tm: 0.3399 0.8812 0.4391
Tm: 0.6601 0.5609 0.1188
Tm: 0.3399 0.4391 0.8812
Tm: 0.8429 0.7602 0.5540
Tm: 0.1571 0.2398 0.4460
Tm: 0.8429 0.5540 0.7602
Tm: 0.1571 0.4460 0.2398

Computed properties:
Energy relative to the elements   0.1147 eV per atom

***

3.
Entry from Alexandria: a relaxed AcNd10Er4 crystal (GGA-PBE).

abc: 9.6783 9.6783 9.6783
angles: 97.41 97.41 137.91
Fractional positions:
Ac: 0.0000 0.0000 0.0000
Nd: 0.7500 0.2500 0.5000
Nd: 0.3754 0.5363 0.4179
Nd: 0.0425 0.6246 0.1609
Nd: 0.4637 0.8816 0.8391
Nd: 0.1184 0.9575 0.5821
Nd: 0.6246 0.4637 0.5821
Nd: 0.2500 0.7500 0.5000
Nd: 0.8816 0.0425 0.4179
Nd: 0.5363 0.1184 0.1609
Nd: 0.9575 0.3754 0.8391
Er: 0.5677 0.3219 0.8895
Er: 0.3219 0.4323 0.7542
Er: 0.6781 0.5677 0.2458
Er: 0.4323 0.6781 0.1105

Computed properties:
Energy relative to the elements   0.4781 eV per atom

***

4.
Entry from Alexandria: a relaxed PmDyGe2 crystal (GGA-PBE).

abc: 3.3911 3.3911 8.1404
angles: 90.00 90.00 90.00
Fractional positions:
Ge: 0.0000 0.0000 0.7434
Ge: 0.0000 0.0000 0.2566
Pm: 0.5000 0.5000 0.0000
Dy: 0.5000 0.5000 0.5000

Computed properties:
Energy relative to the elements   -0.6361 eV per atom

***

5.
Entry from Alexandria: a relaxed RbBrO2F crystal (GGA-PBE).

abc: 5.6327 5.6327 4.9205
angles: 90.00 90.00 90.00
Last column: magnetic moment on the atom in μB.
Fractional positions:
O: 0.0000 0.5000 0.0000  -1.44
O: 0.5000 0.0000 0.0000  -1.44
Br: 0.5000 0.5000 0.5000  -0.69
Rb: 0.0000 0.0000 0.0000  0.01
F: 0.0000 0.0000 0.5000  -0.05

Computed properties:
Formation energy from raw total energies   0.433 eV/atom

***

6.
Entry from Alexandria: a relaxed PrEuEr4 crystal (GGA-PBE).

abc: 6.6916 6.6916 6.6916
angles: 60.00 60.00 60.00
Last column: magnetic moment on the atom in μB.
Fractional positions:
Eu: 0.2500 0.2500 0.2500  6.90
Pr: 0.0000 0.0000 0.0000  -0.25
Er: 0.6260 0.6260 0.1220  0.01
Er: 0.6260 0.1220 0.6260  0.01
Er: 0.6260 0.6260 0.6260  0.01
Er: 0.1220 0.6260 0.6260  0.01

Computed properties:
Energy relative to the elements   0.2554 eV per atom

***

7.
Entry from Alexandria: a relaxed Ti2ReH crystal (GGA-PBE).

abc: 5.7650 5.7650 5.1513
angles: 55.97 55.97 90.00
Fractional positions:
Re: 0.0000 0.0000 0.0000
Re: 0.7500 0.2500 0.5000
H: 0.5000 0.5000 0.0000
H: 0.2500 0.7500 0.5000
Ti: 0.5345 0.1250 0.2500
Ti: 0.2155 0.6250 0.2500
Ti: 0.3750 0.4655 0.7500
Ti: 0.8750 0.7845 0.7500

Computed properties:
Calculated total energy   -7.874 eV per atom

***

8.
Entry from Alexandria: a relaxed RbTl crystal (GGA-PBE).

abc: 4.6109 4.0971 4.7110
angles: 90.00 90.01 90.00
Fractional positions:
Tl: 0.5000 0.0000 0.5000
Rb: 0.0000 0.5000 0.0000

Computed properties:
Energy relative to the elements   0.0641 eV per atom